Material: Hf5ZnBi2
Method: DFT, PBE
State: relaxed

The size of the total moment comes out at 0.0 μB/f.u. The calculation puts the formation energy at 22.9 kJ/mol of atoms. The value obtained for the total energy is -7.11 eV per atom.

It has space group Cmcm (No. 63), with a = 4.837 Å, b = 14.019 Å, c = 12.527 Å, α = 90.00°, β = 90.00° and γ = 90.00°. The asymmetric unit holds Hf at (0.000, 0.119, 0.131), Hf at (0.000, 0.291, 0.750), Hf at (0.000, 0.309, 0.013), Zn at (0.000, 0.306, 0.250) and Bi at (0.000, 0.096, 0.617).

=====

Material: HfZnBi
Method: DFT, PBE
State: relaxed

The size of the total moment comes out at 0.0 μB/f.u. The calculation puts the formation energy at 20.1 kJ/mol of atoms. The value obtained for the total energy is -4.83 eV per atom.

It has space group P3m1 (No. 156), with a = 4.5709 Å, b = 4.5709 Å, c = 3.8525 Å, α = 90.00°, β = 90.00° and γ = 120.00°. The asymmetric unit holds Hf at (0.0000, 0.0000, 0.0000), Zn at (0.3333, 0.6667, 0.1584) and Bi at (0.6667, 0.3333, 0.5356).

=====

Material: Hf3ZnBi
Method: DFT, PBE
State: relaxed

The size of the total moment comes out at 0.0 μB/f.u. The calculation puts the formation energy at 42.6 kJ/mol of atoms. The value obtained for the total energy is -6.56 eV per atom. The distance to the lowest polymorph of the same formula is 504.4 meV/atom.

It has space group Pm-3m (No. 221), with a = 4.962 Å, b = 4.962 Å, c = 4.962 Å, α = 90.00°, β = 90.00° and γ = 90.00°. The asymmetric unit holds Hf at (0.000, 0.000, 0.500), Zn at (0.000, 0.000, 0.000) and Bi at (0.500, 0.500, 0.500).

=====

In g/cm³, the calculated density values for the records above are, in order, 10.76, 10.79, 11.01.